Record 1
The following is a DFT calculation (PBE-GGA) of crystalline LaTb5Dy2Th at its relaxed geometry.

Results
Formation energy (eV/f.u.): 1.50

abc: 5.6523 10.3886 10.5022
angles: 90.00 90.00 105.79
Fractional coordinates of all 18 atoms:
Tb 0.2954 0.5908 0.7083
Tb 0.7046 0.4092 0.2083
Tb 0.2763 0.5526 0.3182
Tb 0.9837 0.9675 0.5248
Tb 0.4783 0.9566 0.7360
Tb 0.7237 0.4474 0.8182
Tb 0.3864 0.7728 0.0254
Tb 0.5217 0.0434 0.2360
Tb 0.0163 0.0325 0.0248
Tb 0.6136 0.2272 0.5254
Dy 0.1129 0.2258 0.3186
Dy 0.8871 0.7742 0.8186
Dy 0.1137 0.2274 0.7325
Dy 0.8863 0.7726 0.2325
La 0.4144 0.8289 0.4449
La 0.5856 0.1711 0.9449
Th 0.7993 0.5986 0.5153
Th 0.2007 0.4014 0.0153

Record 2
The following is a DFT calculation (PBE-GGA) of crystalline YZr2Sn2 at its relaxed geometry.

Results
Formation energy (eV/f.u.): -2.59

abc: 7.9550 7.9550 3.8647
angles: 90.00 90.00 90.00
Fractional coordinates of all 10 atoms:
Sn 0.6330 0.1330 0.0000
Sn 0.3670 0.8670 0.0000
Sn 0.8670 0.6330 0.0000
Sn 0.1330 0.3670 0.0000
Zr 0.3346 0.1654 0.5000
Zr 0.1654 0.6654 0.5000
Zr 0.6654 0.8346 0.5000
Zr 0.8346 0.3346 0.5000
Y 0.0000 0.0000 0.0000
Y 0.5000 0.5000 0.0000

Record 3
The following is a DFT calculation (PBE-GGA) of crystalline TiMoIr at its relaxed geometry.

Results
Formation energy (eV/f.u.): -1.14

abc: 4.5557 2.9633 13.7740
angles: 90.00 95.77 90.00
Fractional coordinates of all 12 atoms:
Mo 0.1232 0.0000 0.3780
Mo 0.1232 0.5000 0.8780
Mo 0.5674 0.0000 0.1998
Mo 0.5674 0.5000 0.6998
Ti 0.5183 0.5000 0.0284
Ti 0.0693 0.0000 0.6994
Ti 0.5183 0.0000 0.5284
Ti 0.0693 0.5000 0.1994
Ir 0.6179 0.5000 0.3588
Ir 0.6179 0.0000 0.8588
Ir 0.0121 0.5000 0.5380
Ir 0.0121 0.0000 0.0380

Record 4
The following is a DFT calculation (PBE-GGA) of crystalline Cs2TiPbBr6 at its relaxed geometry.

Results
Formation energy without anion corrections (eV per atom): -1.288

abc: 8.0650 8.0650 8.0649
angles: 60.00 60.00 90.00
Fractional coordinates of all 10 atoms:
Cs 0.2500 0.7500 0.5000
Cs 0.7500 0.2500 0.5000
Br 0.7356 0.7356 0.5287
Br 0.2644 0.2644 0.0000
Br 0.7356 0.7356 0.0000
Br 0.2644 0.7356 0.0000
Br 0.7356 0.2644 0.0000
Br 0.2644 0.2644 0.4713
Pb 0.0000 0.0000 0.0000
Ti 0.5000 0.5000 0.0000

Record 5
The following is a DFT calculation (PBE-GGA) of crystalline TbSmEuSn at its relaxed geometry.

Results
Formation energy (eV/f.u.): -1.03

abc: 5.5090 5.5090 5.5090
angles: 60.00 60.00 60.00
Fractional coordinates of all 4 atoms:
Tb 0.0000 0.0000 0.0000
Sn 0.2500 0.2500 0.2500
Eu 0.7500 0.7500 0.7500
Sm 0.5000 0.5000 0.5000

Record 6
The following is a DFT calculation (PBE-GGA) of crystalline NaInNiPd at its relaxed geometry.

Results
Formation energy (eV/f.u.): -0.22

abc: 4.5656 4.5656 4.5656
angles: 60.00 60.00 60.00
Fractional coordinates of all 4 atoms:
Na 0.2500 0.2500 0.2500
In 0.7500 0.7500 0.7500
Ni 0.0000 0.0000 0.0000
Pd 0.5000 0.5000 0.5000

Record 7
The following is a DFT calculation (PBE-GGA) of crystalline LaThInCu at its relaxed geometry.

Results
Formation energy (eV/f.u.): -0.57

abc: 5.3586 5.3586 5.3586
angles: 60.00 60.00 60.00
Fractional coordinates of all 4 atoms:
Th 0.0000 0.0000 0.0000
La 0.5000 0.5000 0.5000
Cu 0.2500 0.2500 0.2500
In 0.7500 0.7500 0.7500

Record 8
The following is a DFT calculation (PBE-GGA) of crystalline CsZrAlSe4 at its relaxed geometry.

Results
Formation energy without anion corrections (eV per atom): -1.181

abc: 6.5882 7.1611 10.7329
angles: 90.00 121.10 90.00
Fractional coordinates of all 14 atoms:
Al 0.2046 0.7500 0.3542
Al 0.7954 0.2500 0.6458
Zr 0.7795 0.7500 0.4556
Zr 0.2205 0.2500 0.5444
Se 0.6441 0.2500 0.8038
Se 0.9279 0.0001 0.3204
Se 0.4624 0.2500 0.4096
Se 0.9279 0.4999 0.3204
Se 0.3559 0.7500 0.1962
Se 0.0721 0.5001 0.6796
Se 0.0721 0.9999 0.6796
Se 0.5376 0.7500 0.5904
Cs 0.3353 0.2500 0.0540
Cs 0.6647 0.7500 0.9460